The following is a PBE calculation of a relaxed RbTl2CuO2 crystal, from Alexandria via LeMat-Bulk.

a = 6.7457 Å, b = 12.9547 Å, c = 3.6242 Å
α = 90.00°, β = 90.00°, γ = 90.00°
Closest atoms and distances in Å follow each position.
Positions (direct):
Rb: 0.0000 0.0000 0.0000  4 O 2.88
Rb: 0.5000 0.5000 0.5000  4 O 2.88
Tl: 0.1155 0.3001 0.5000  2 O 2.42
Tl: 0.3845 0.8001 0.0000  2 O 2.42
Tl: 0.6155 0.1999 0.0000  2 O 2.42
Tl: 0.8845 0.6999 0.5000  2 O 2.42
Cu: 0.0000 0.5000 0.0000  2 O 1.82
Cu: 0.5000 0.0000 0.5000  2 O 1.82
O: 0.2120 0.4135 0.0000  1 Cu 1.82
O: 0.2880 0.9135 0.5000  1 Cu 1.82
O: 0.7120 0.0865 0.5000  1 Cu 1.82
O: 0.7880 0.5865 0.0000  1 Cu 1.82

Properties
- Calculated volume: 26.4 Å³/atom
- Electronic total energy: -4.04 eV/atom
- Formation energy (no corrections): -4.5 eV per formula unit
- Spin magnetization: 0.00 μB/cell

The following is a PBE calculation of a relaxed RbPa2TiO8 crystal, from Alexandria via LeMat-Bulk.

a = 4.9217 Å, b = 7.6048 Å, c = 4.9266 Å
α = 90.00°, β = 91.92°, γ = 90.00°
Closest atoms and distances in Å follow each position.
Positions (direct):
Rb: 0.0000 0.0000 0.0000  6 O 2.51-2.74
Pa: 0.5000 0.2717 0.5000  6 O 2.07-2.31
Pa: 0.5000 0.7283 0.5000  6 O 2.07-2.31
Ti: 0.0000 0.5000 0.0000  6 O 1.98-2.08
O: 0.2015 0.3122 0.2002  1 Ti 1.98, 1 Pa 2.07
O: 0.2015 0.6878 0.2002  1 Ti 1.98, 1 Pa 2.07
O: 0.2929 0.5000 0.7060  1 Ti 2.08, 2 Pa 2.27
O: 0.3525 0.0000 0.6439  1 O 2.06, 2 Pa 2.31
O: 0.6475 0.0000 0.3561  1 O 2.06, 2 Pa 2.31
O: 0.7071 0.5000 0.2940  1 Ti 2.08, 2 Pa 2.27
O: 0.7985 0.3122 0.7998  1 Ti 1.98, 1 Pa 2.07
O: 0.7985 0.6878 0.7998  1 Ti 1.98, 1 Pa 2.07

Properties
- Calculated volume: 15.4 Å³/atom
- Electronic total energy: -8.47 eV/atom
- Formation energy (no corrections): -34.2 eV per formula unit
- Spin magnetization: 0.96 μB/cell

The following is a PBE calculation of a relaxed TmTlInTe3 crystal, from Alexandria via LeMat-Bulk.

a = 9.4031 Å, b = 4.4284 Å, c = 11.5027 Å
α = 90.00°, β = 104.71°, γ = 90.00°
Closest atoms and distances in Å follow each position.
Positions (direct):
Tm: 0.1623 0.2500 0.1210  6 Te 3.03-3.16
Tm: 0.8377 0.7500 0.8790  6 Te 3.03-3.16
Tl: 0.3088 0.7500 0.8039  5 Te 3.32-3.59
Tl: 0.6912 0.2500 0.1961  5 Te 3.32-3.59
In: 0.4581 0.7500 0.3679  4 Te 2.96-3.19
In: 0.5419 0.2500 0.6321  4 Te 2.96-3.19
Te: 0.0508 0.2500 0.8496  3 Tm 3.03-3.06
Te: 0.2639 0.2500 0.4047  3 In 2.97-3.19, 1 Tm 3.16
Te: 0.3833 0.7500 0.1023  1 In 2.96, 2 Tm 3.08
Te: 0.6167 0.2500 0.8977  1 In 2.96, 2 Tm 3.08
Te: 0.7361 0.7500 0.5953  3 In 2.97-3.19, 1 Tm 3.16
Te: 0.9492 0.7500 0.1504  3 Tm 3.03-3.06

Properties
- Calculated volume: 38.6 Å³/atom
- Electronic total energy: -3.86 eV/atom
- Density of states at the Fermi level: 0.32 states/eV per atom
- Formation energy (no corrections): -4.1 eV per formula unit
- Spin magnetization: 0.00 μB/cell

The following is a PBE calculation of a relaxed Mg3Cd2Hg2 crystal, from Alexandria via LeMat-Bulk.

a = 10.5579 Å, b = 10.5579 Å, c = 10.5579 Å
α = 162.01°, β = 154.50°, γ = 31.38°
Closest atoms and distances in Å follow each position.
Positions (direct):
Mg: 0.0000 0.0000 0.0000  8 Cd 3.19, 2 Mg 3.30
Mg: 0.2983 0.7983 0.5000  5 Hg 2.88-3.00, 2 Cd 3.15
Mg: 0.7017 0.2017 0.5000  5 Hg 2.88-3.00, 2 Cd 3.15
Cd: 0.4303 0.4303 0.0000  1 Cd 2.83, 2 Hg 2.93, 2 Mg 3.15
Cd: 0.5697 0.5697 0.0000  1 Cd 2.83, 2 Hg 2.93, 2 Mg 3.15
Hg: 0.1568 0.6568 0.5000  5 Mg 2.88-3.00, 2 Cd 2.93
Hg: 0.8432 0.3432 0.5000  5 Mg 2.88-3.00, 2 Cd 2.93

Properties
- Calculated volume: 22.3 Å³/atom
- DFT formation energy: -114 meV per atom
- Electronic total energy: -1.15 eV/atom
- E above lowest polymorph: 0.017 eV per atom
- Density of states at the Fermi level: 0.42 states/eV per atom
- Spin magnetization: 0.00 μB/cell

The following is a PBE calculation of a relaxed La8Dy2Er3 crystal, from Alexandria via LeMat-Bulk.

a = 10.9845 Å, b = 10.9845 Å, c = 5.8142 Å
α = 90.03°, β = 90.03°, γ = 41.29°
Closest atoms and distances in Å follow each position.
Positions (direct):
La: 0.0943 0.6957 0.9998  1 La 3.09, 1 Er 3.18
La: 0.1751 0.1751 0.5010  2 Dy 3.40, 4 La 3.59-3.60
La: 0.3043 0.9057 0.0002  1 La 3.09, 1 Er 3.18
La: 0.3700 0.3700 0.5007  2 Er 3.46, 2 Dy 3.67-3.68, 4 La 3.76
La: 0.6300 0.6300 0.4993  2 Er 3.46, 2 Dy 3.67-3.68, 4 La 3.76
La: 0.6957 0.0943 0.9998  1 La 3.09, 1 Er 3.18
La: 0.8249 0.8249 0.4990  2 Dy 3.40, 4 La 3.59-3.60
La: 0.9057 0.3043 0.0002  1 La 3.09, 1 Er 3.18
Dy: 0.2607 0.2607 0.0014  8 La 3.40-3.68
Dy: 0.7393 0.7393 0.9986  8 La 3.40-3.68
Er: 0.2165 0.7835 0.5000  3 Er 3.35-3.64, 6 La 3.46-3.62
Er: 0.5000 0.5000 0.0000  4 La 3.18
Er: 0.7835 0.2165 0.5000  3 Er 3.35-3.64, 6 La 3.46-3.62

Properties
- Calculated volume: 35.6 Å³/atom
- DFT formation energy: 178 meV per atom
- Electronic total energy: -4.62 eV/atom
- E above lowest polymorph: 0.037 eV per atom
- Density of states at the Fermi level: 1.29 states/eV per atom
- Spin magnetization: 0.00 μB/cell

The following is a PBE calculation of a relaxed NdLuTe crystal, from Alexandria via LeMat-Bulk.

a = 5.1813 Å, b = 5.1813 Å, c = 3.9733 Å
α = 90.00°, β = 90.00°, γ = 120.00°
Closest atoms and distances in Å follow each position.
Positions (direct):
Nd: 0.0000 0.0000 0.0000  3 Te 3.36, 6 Lu 3.59
Lu: 0.6667 0.3333 0.4984  3 Te 3.02
Te: 0.3333 0.6667 0.3861  3 Lu 3.02, 3 Nd 3.36

Properties
- Calculated volume: 30.8 Å³/atom
- Electronic total energy: -4.63 eV/atom
- E above lowest polymorph: 0.275 eV per atom
- Density of states at the Fermi level: 1.60 states/eV per atom
- Formation energy (no corrections): -1.5 eV per formula unit
- Spin magnetization: 0.00 μB/cell

The highest spin magnetization belongs to which entry?
RbPa2TiO8